! GGA-PBE K2ZrRu, relaxed; values from VASP
&SYSTEM
  ibrav = 0, nat = 16, ntyp = 3
/
ATOMIC_SPECIES
K 39.10 K.upf
Zr 91.22 Zr.upf
Ru 101.07 Ru.upf
ATOMIC_POSITIONS angstrom
K 1.171 9.518 0.577
K 3.173 1.171 4.038
K 3.173 5.175 1.731
K 5.175 9.518 2.885
K 7.516 3.173 2.885
K 9.518 7.516 1.731
K 9.518 11.520 4.038
K 11.520 3.173 0.577
Zr 0.000 0.000 2.308
Zr 0.000 6.345 3.461
Zr 6.345 0.000 1.154
Zr 6.345 6.345 0.000
Ru 0.000 0.000 0.000
Ru 0.000 6.345 1.154
Ru 6.345 0.000 3.461
Ru 6.345 6.345 2.308
CELL_PARAMETERS angstrom
12.691 0.000 0.000
0.000 12.691 0.000
0.000 0.000 4.615
! SG = I-42d, No. 122
! Calculated volume = 743.3 Å³ per cell
! DFT total energy = -0.2984 Ry/atom
! DOS at the Fermi energy = 0.868 states/eV/atom
! Energy above the lowest structure with this stoichiometry = 637 meV per atom
! ΔE_f = 0.944 eV per atom


! GGA-PBE NpCd2Sn, relaxed; values from VASP
&SYSTEM
  ibrav = 0, nat = 4, ntyp = 3
/
ATOMIC_SPECIES
Np 237.00 Np.upf
Cd 112.41 Cd.upf
Sn 118.71 Sn.upf
ATOMIC_POSITIONS angstrom
Np 0.000 0.000 0.000
Cd 0.000 2.242 2.465
Cd 2.242 0.000 2.465
Sn 2.242 2.242 0.000
CELL_PARAMETERS angstrom
4.484 0.000 0.000
0.000 4.484 0.000
0.000 0.000 4.930
! SG = P4/mmm, No. 123
! Calculated volume = 99.1 Å³ per cell
! DFT total energy = -0.3416 Ry/atom
! DOS at the Fermi energy = 2.783 states/eV/atom
! Energy above the lowest structure with this stoichiometry = 0 meV per atom
! ΔE_f = 0.046 eV per atom


! GGA-PBE La6Te3AsP2, relaxed; values from VASP
&SYSTEM
  ibrav = 0, nat = 12, ntyp = 4
/
ATOMIC_SPECIES
La 138.91 La.upf
Te 127.60 Te.upf
As 74.92 As.upf
P 30.97 P.upf
ATOMIC_POSITIONS angstrom
La -0.394 0.000 2.073
La 5.323 0.000 3.774
La 4.461 0.000 7.761
La 12.709 0.000 0.916
La 11.848 0.000 4.903
La 17.565 0.000 6.604
Te 1.238 0.000 7.229
Te 8.585 0.000 4.338
Te 15.933 0.000 1.447
As 9.782 0.000 0.000
P 2.470 0.000 2.897
P 14.701 0.000 5.780
CELL_PARAMETERS angstrom
9.782 -2.195 0.000
9.782 2.195 0.000
-2.394 0.000 8.676
! SG = C2/m, No. 12
! Calculated volume = 372.6 Å³ per cell
! DFT total energy = -0.4555 Ry/atom
! DOS at the Fermi energy = 0.449 states/eV/atom
! Raw formation energy = -160.04 kJ/mol of atoms


! GGA-PBE CaScRu2S, relaxed; values from VASP
&SYSTEM
  ibrav = 0, nat = 5, ntyp = 4
/
ATOMIC_SPECIES
Ca 40.08 Ca.upf
Sc 44.96 Sc.upf
Ru 101.07 Ru.upf
S 32.06 S.upf
ATOMIC_POSITIONS angstrom
Ca 0.000 0.000 0.000
Sc 2.249 2.249 0.000
Ru 0.000 2.249 2.356
Ru 2.249 0.000 2.356
S 2.249 2.249 2.356
CELL_PARAMETERS angstrom
4.498 0.000 0.000
0.000 4.498 0.000
0.000 0.000 4.711
! SG = P4/mmm, No. 123
! Calculated volume = 95.3 Å³ per cell
! DFT total energy = -0.4703 Ry/atom
! DOS at the Fermi energy = 0.727 states/eV/atom
! Raw formation energy = -18.95 kJ/mol of atoms


! GGA-PBE SnIr2Ru, relaxed; values from VASP
&SYSTEM
  ibrav = 0, nat = 16, ntyp = 3
/
ATOMIC_SPECIES
Sn 118.71 Sn.upf
Ir 192.22 Ir.upf
Ru 101.07 Ru.upf
ATOMIC_POSITIONS angstrom
Sn 0.000 0.000 0.000
Sn 0.000 2.891 2.851
Sn 2.891 0.000 8.553
Sn 2.891 2.891 5.702
Ir 1.236 1.446 7.128
Ir 1.446 4.127 9.979
Ir 1.446 4.546 4.277
Ir 1.655 1.446 1.426
Ir 4.127 4.337 1.426
Ir 4.337 1.236 4.277
Ir 4.337 1.655 9.979
Ir 4.546 4.337 7.128
Ru 0.000 0.000 5.702
Ru 0.000 2.891 8.553
Ru 2.891 0.000 2.851
Ru 2.891 2.891 0.000
CELL_PARAMETERS angstrom
5.782 0.000 0.000
0.000 5.782 0.000
0.000 0.000 11.405
! SG = I-42d, No. 122
! Calculated volume = 381.3 Å³ per cell
! DFT total energy = -0.5121 Ry/atom
! DOS at the Fermi energy = 0.904 states/eV/atom
! ΔE_f = 0.782 eV per atom


! GGA-PBE La2UAs3, relaxed; values from VASP
&SYSTEM
  ibrav = 0, nat = 6, ntyp = 3
/
ATOMIC_SPECIES
La 138.91 La.upf
U 238.03 U.upf
As 74.92 As.upf
ATOMIC_POSITIONS angstrom
La 3.026 3.030 3.019
La 3.026 3.030 15.101
U 3.026 3.030 9.060
As 0.000 0.000 0.000
As 3.026 3.030 6.152
As 3.026 3.030 11.969
CELL_PARAMETERS angstrom
0.000 3.030 9.060
3.026 0.000 9.060
3.026 3.030 0.000
! SG = Fmmm, No. 69
! Calculated volume = 166.1 Å³ per cell
! DFT total energy = -0.5221 Ry/atom
! DOS at the Fermi energy = 1.062 states/eV/atom
! Energy above the lowest structure with this stoichiometry = 8 meV per atom
! ΔE_f = -1.254 eV per atom


! GGA-PBE Pd5Au4, relaxed; values from VASP
&SYSTEM
  ibrav = 0, nat = 9, ntyp = 2
/
ATOMIC_SPECIES
Pd 106.42 Pd.upf
Au 196.97 Au.upf
ATOMIC_POSITIONS angstrom
Pd 0.000 0.000 0.000
Pd 6.610 3.256 0.000
Pd 3.256 3.565 0.000
Pd 1.831 1.523 1.450
Pd -1.523 1.831 1.450
Au 6.819 0.327 0.000
Au 0.327 3.355 0.000
Au 4.760 1.732 1.450
Au -1.732 4.760 1.450
CELL_PARAMETERS angstrom
-5.087 5.087 1.450
5.087 -5.087 1.450
5.087 5.087 -1.450
! SG = I4/m, No. 87
! Calculated volume = 150.1 Å³ per cell
! DFT total energy = -0.3198 Ry/atom
! DOS at the Fermi energy = 0.883 states/eV/atom
! Energy above the lowest structure with this stoichiometry = 60 meV per atom
! ΔE_f = -0.010 eV per atom


! GGA-PBE SmDy2Er2Tm2, relaxed; values from VASP
&SYSTEM
  ibrav = 0, nat = 14, ntyp = 4
/
ATOMIC_SPECIES
Sm 150.36 Sm.upf
Dy 162.50 Dy.upf
Er 167.26 Er.upf
Tm 168.93 Tm.upf
ATOMIC_POSITIONS angstrom
Sm 0.000 0.000 0.000
Sm 5.568 2.494 0.000
Dy 1.105 0.000 3.354
Dy 3.339 2.494 4.456
Dy 6.673 2.494 3.354
Dy 8.907 0.000 4.456
Er 2.227 2.494 1.119
Er 2.217 0.000 6.691
Er 7.795 0.000 1.119
Er 7.785 2.494 6.691
Tm -0.003 2.494 5.572
Tm 4.447 0.000 2.238
Tm 5.565 0.000 5.572
Tm 10.015 2.494 2.238
CELL_PARAMETERS angstrom
11.136 0.000 0.000
0.000 4.988 0.000
-1.124 0.000 7.810
! SG = C2/m, No. 12
! Calculated volume = 433.9 Å³ per cell
! DFT total energy = -0.3343 Ry/atom
! DOS at the Fermi energy = 1.350 states/eV/atom
! ΔE_f = 0.022 eV per atom


! GGA-PBE K4Tb3PbO8, relaxed; values from VASP
&SYSTEM
  ibrav = 0, nat = 16, ntyp = 4
/
ATOMIC_SPECIES
K 39.10 K.upf
Tb 158.93 Tb.upf
Pb 207.20 Pb.upf
O 16.00 O.upf
ATOMIC_POSITIONS angstrom
K 0.000 0.000 0.000
K -1.764 -1.019 6.292
K -1.764 1.019 12.584
K 0.000 2.037 6.292
Tb -3.528 0.000 9.438
Tb -1.764 1.019 3.146
Tb 1.764 1.019 3.146
Pb 0.000 0.000 9.438
O -1.830 -1.056 10.648
O 0.000 0.000 4.308
O 0.000 -2.113 8.227
O -1.830 1.056 8.227
O 1.830 -1.056 10.648
O 0.000 2.113 10.648
O 0.000 0.000 14.568
O 1.830 1.056 8.227
CELL_PARAMETERS angstrom
3.528 2.037 6.292
-3.528 2.037 6.292
0.000 -4.074 6.292
! SG = R-3m, No. 166
! Calculated volume = 271.3 Å³ per cell
! DFT total energy = -0.4552 Ry/atom
! DOS at the Fermi energy = 0.125 states/eV/atom
! Raw formation energy = -225.70 kJ/mol of atoms


! GGA-PBE YTl2Pt, relaxed; values from VASP
&SYSTEM
  ibrav = 0, nat = 4, ntyp = 3
/
ATOMIC_SPECIES
Y 88.91 Y.upf
Tl 204.38 Tl.upf
Pt 195.08 Pt.upf
ATOMIC_POSITIONS angstrom
Y 0.000 0.000 0.000
Tl 0.000 2.197 2.437
Tl 2.197 0.000 2.437
Pt 2.197 2.197 0.000
CELL_PARAMETERS angstrom
4.394 0.000 0.000
0.000 4.394 0.000
0.000 0.000 4.874
! SG = P4/mmm, No. 123
! Calculated volume = 94.1 Å³ per cell
! DFT total energy = -0.3439 Ry/atom
! DOS at the Fermi energy = 0.451 states/eV/atom
! ΔE_f = -0.370 eV per atom


Question: calculated volume of number 4 (CaScRu2S)?
Answer: 95.3 Å³ per cell


Question: The highest DOS at the Fermi energy belongs to which entry?
Answer: NpCd2Sn